# 1
! Ga2SbP (PBEsol, optimized geometry); values from VASP
! Total magnetization: 0.00 Bohr magnetons per cell
! Formation energy without anion corrections: -0.23 eV/atom
&SYSTEM
  ibrav = 0, nat = 8, ntyp = 3
/
ATOMIC_SPECIES
Ga 69.72 Ga.upf
Sb 121.76 Sb.upf
P 30.97 P.upf
CELL_PARAMETERS angstrom
-2.887 2.887 5.719
2.887 -2.887 5.719
2.887 2.887 -5.719
ATOMIC_POSITIONS crystal
Ga 0.087 0.625 0.962
Ga 0.375 0.337 0.462
Ga 0.663 0.125 0.038
Ga 0.875 0.913 0.538
Sb 0.250 0.750 0.500
Sb 0.500 0.500 0.000
P 0.000 0.000 0.000
P 0.750 0.250 0.500

# 2
! SrCa3Zn (PBEsol, optimized geometry); values from VASP
! Total magnetization: 0.00 Bohr magnetons per cell
! Energy of formation from the pure elements: -5 meV/atom
&SYSTEM
  ibrav = 0, nat = 5, ntyp = 3
/
ATOMIC_SPECIES
Sr 87.62 Sr.upf
Ca 40.08 Ca.upf
Zn 65.41 Zn.upf
CELL_PARAMETERS angstrom
5.815 0.000 0.000
0.000 5.815 0.000
0.000 0.000 5.815
ATOMIC_POSITIONS crystal
Sr 0.000 0.000 0.000
Ca 0.000 0.500 0.500
Ca 0.500 0.000 0.500
Ca 0.500 0.500 0.000
Zn 0.500 0.500 0.500

# 3
! BaMg2Te (PBEsol, optimized geometry); values from VASP
! Total magnetization: 0.00 Bohr magnetons per cell
! Formation energy without anion corrections: -0.46 eV/atom
&SYSTEM
  ibrav = 0, nat = 4, ntyp = 3
/
ATOMIC_SPECIES
Ba 137.33 Ba.upf
Mg 24.30 Mg.upf
Te 127.60 Te.upf
CELL_PARAMETERS angstrom
-2.345 2.345 6.080
2.345 -2.345 6.080
2.345 2.345 -6.080
ATOMIC_POSITIONS crystal
Ba 0.000 0.000 0.000
Mg 0.250 0.750 0.500
Mg 0.750 0.250 0.500
Te 0.500 0.500 0.000

# 4
! HgSb3Ru (PBEsol, optimized geometry); values from VASP
! Total magnetization: 0.00 Bohr magnetons per cell
! Formation energy without anion corrections: 0.39 eV/atom
! Energy above the lowest structure with this stoichiometry: 0.000 eV per atom
&SYSTEM
  ibrav = 0, nat = 5, ntyp = 3
/
ATOMIC_SPECIES
Hg 200.59 Hg.upf
Sb 121.76 Sb.upf
Ru 101.07 Ru.upf
CELL_PARAMETERS angstrom
5.089 0.000 0.000
0.000 5.089 0.000
0.000 0.000 5.089
ATOMIC_POSITIONS crystal
Hg 0.000 0.000 0.000
Sb 0.000 0.500 0.500
Sb 0.500 0.000 0.500
Sb 0.500 0.500 0.000
Ru 0.500 0.500 0.500

# 5
! ZrGaAgTe2 (PBEsol, optimized geometry); values from VASP
! Total magnetization: 0.00 Bohr magnetons per cell
! Formation energy without anion corrections: 0.17 eV/atom
&SYSTEM
  ibrav = 0, nat = 5, ntyp = 4
/
ATOMIC_SPECIES
Zr 91.22 Zr.upf
Ga 69.72 Ga.upf
Ag 107.87 Ag.upf
Te 127.60 Te.upf
CELL_PARAMETERS angstrom
5.488 0.000 0.000
0.000 5.488 0.000
0.000 0.000 5.301
ATOMIC_POSITIONS crystal
Zr 0.000 0.000 0.000
Ga 0.500 0.500 0.500
Ag 0.000 0.000 0.500
Te 0.000 0.500 0.000
Te 0.500 0.000 0.000

# 6
! Ba2PIO4 (PBEsol, optimized geometry); values from VASP
! Total magnetization: 0.00 Bohr magnetons per cell
! Formation energy without anion corrections: -2.72 eV/atom
&SYSTEM
  ibrav = 0, nat = 32, ntyp = 4
/
ATOMIC_SPECIES
Ba 137.33 Ba.upf
P 30.97 P.upf
I 126.90 I.upf
O 16.00 O.upf
CELL_PARAMETERS angstrom
9.419 0.000 0.000
0.000 9.251 0.000
-3.321 0.000 8.202
ATOMIC_POSITIONS crystal
Ba 0.157 0.193 0.041
Ba 0.157 0.307 0.541
Ba 0.250 0.672 0.951
Ba 0.250 0.828 0.451
Ba 0.750 0.172 0.549
Ba 0.750 0.328 0.049
Ba 0.843 0.693 0.459
Ba 0.843 0.807 0.959
P 0.038 0.556 0.239
P 0.038 0.944 0.739
P 0.962 0.056 0.261
P 0.962 0.444 0.761
I 0.497 0.078 0.755
I 0.497 0.422 0.255
I 0.503 0.578 0.745
I 0.503 0.922 0.245
O 0.066 0.104 0.708
O 0.066 0.396 0.208
O 0.098 0.583 0.426
O 0.098 0.917 0.926
O 0.119 0.666 0.165
O 0.119 0.834 0.665
O 0.138 0.085 0.334
O 0.138 0.415 0.834
O 0.862 0.585 0.166
O 0.862 0.915 0.666
O 0.881 0.166 0.335
O 0.881 0.334 0.835
O 0.902 0.083 0.074
O 0.902 0.417 0.574
O 0.934 0.604 0.792
O 0.934 0.896 0.292